Here is crystalline La4PmNd2Ho at its relaxed geometry from the Alexandria database. Energies are from PBE-GGA.

Properties
- DOS(E_F): 12.4 states/eV per cell
- Crystal system: monoclinic
- Calculated density: 6761 kg/m³
- Total DFT energy (no corrections): -4.8076 eV/atom
- Formation energy from the elements: 0.01 eV per atom

Structure (CIF):
```
data_La4PmNd2Ho
_chemical_formula_sum 'La4 Pm1 Nd2 Ho1'
_cell_length_a 5.2325
_cell_length_b 5.2654
_cell_length_c 10.2871
_cell_angle_alpha 90.00
_cell_angle_beta 90.06
_cell_angle_gamma 90.00
_space_group_name_H-M_alt 'P 1 2/m 1'
_space_group_IT_number 10
_space_group_name_Hall '-P 2y'
loop_
_atom_site_label
_atom_site_type_symbol
_atom_site_fract_x
_atom_site_fract_y
_atom_site_fract_z
_atom_site_occupancy
La1 La 0.0002 0.0000 0.2480 1
La2 La 0.4993 0.5000 0.7513 1
Pm1 Pm 0.0000 0.5000 0.5000 1
Nd1 Nd 0.0000 0.5000 0.0000 1
Nd2 Nd 0.5000 0.0000 0.5000 1
Ho1 Ho 0.5000 0.0000 0.0000 1
```